! KRb2CdAu, optimized geometry, DFT PBE; values from VASP
! **Crystal system**: tetragonal
! **Relative energy among the computed polymorphs**: 0 meV per atom
! **SG**: P4/mmm (123)
! **Total DFT energy (no corrections)**: -1.545 eV per atom
! **Calculated formation energy**: -0.100 eV/atom
&SYSTEM
  ibrav = 0, nat = 5, ntyp = 4
/
ATOMIC_SPECIES
Rb 85.47 Rb.upf
Cd 112.41 Cd.upf
K 39.10 K.upf
Au 196.97 Au.upf
ATOMIC_POSITIONS angstrom
Rb 2.697 -1.145 1.673
Cd -1.596 -0.550 2.196
Rb -0.576 -3.102 -1.195
K 0.525 -4.797 2.674
Au 0.000 0.000 0.000
CELL_PARAMETERS angstrom
-1.151 -6.204 -2.390
5.393 -2.290 3.347
-3.192 -1.100 4.392